[1]
First-principles (PBE-GGA) data for crystalline ZnRuBr at its relaxed geometry, as listed in Alexandria.

```
ZnRuBr
1.0
0.000 3.056 3.056
3.056 0.000 3.056
3.056 3.056 0.000
Zn Ru Br
1 1 1
Cartesian
0.000 0.000 0.000
4.584 4.584 4.584
3.056 3.056 3.056
```

- space-group type = No. 216
- offset from the most stable computed form (meV/atom) = 245
- total magnetization (μB/cell) = 0.00
- E_form (uncorrected) (eV/atom) = 0.6503
- N(E_F) (states/eV per atom) = 1.24

[2]
First-principles (PBE-GGA) data for crystalline Zn2RuBr8 at its relaxed geometry, as listed in Alexandria.

```
Zn2RuBr8
1.0
7.289 -3.946 0.000
7.289 3.946 0.000
-0.088 0.000 6.384
Zn Ru Br
2 1 8
Cartesian
2.303 0.000 2.697
12.187 0.000 3.687
0.000 0.000 0.000
2.122 0.000 5.194
6.292 2.200 4.820
8.198 2.200 1.564
4.588 0.000 2.280
9.902 0.000 4.103
6.292 -2.200 4.820
8.198 -2.200 1.564
12.368 0.000 1.189
```

- space-group type = No. 12
- total magnetization (μB/cell) = 2.12
- E_form (uncorrected) (eV/atom) = -0.5244
- N(E_F) (states/eV per atom) = 0.25

[3]
First-principles (PBE-GGA) data for crystalline ZnRu2Br at its relaxed geometry, as listed in Alexandria.

```
ZnRu2Br
1.0
0.000 3.184 3.184
3.184 0.000 3.184
3.184 3.184 0.000
Zn Ru Br
1 2 1
Cartesian
0.000 0.000 0.000
1.592 1.592 1.592
3.184 3.184 3.184
4.777 4.777 4.777
```

- space-group type = No. 216
- offset from the most stable computed form (meV/atom) = 667
- total magnetization (μB/cell) = 2.05
- E_form (uncorrected) (eV/atom) = 0.8997
- N(E_F) (states/eV per atom) = 1.53

[4]
First-principles (PBE-GGA) data for crystalline ZrRuBr2 at its relaxed geometry, as listed in Alexandria.

```
ZrRuBr2
1.0
-1.595 2.830 4.523
1.595 -2.830 4.523
1.595 2.830 -4.523
Zr Ru Br
1 1 2
Cartesian
0.000 0.000 0.000
0.000 0.000 4.523
1.595 0.000 2.353
0.000 2.830 2.170
```

- space-group type = No. 71
- offset from the most stable computed form (meV/atom) = 691
- total magnetization (μB/cell) = 1.15
- E_form (uncorrected) (eV/atom) = 0.2417
- N(E_F) (states/eV per atom) = 0.68

[5]
First-principles (PBE-GGA) data for crystalline Zr2RuBr at its relaxed geometry, as listed in Alexandria.

```
Zr2RuBr
1.0
3.349 0.000 0.000
0.000 3.349 0.000
0.000 0.000 7.802
Zr Ru Br
2 1 1
Cartesian
0.000 0.000 0.000
1.675 1.675 2.101
1.675 1.675 6.606
0.000 0.000 3.860
```

- space-group type = No. 99
- offset from the most stable computed form (meV/atom) = 233
- total magnetization (μB/cell) = 0.00
- E_form (uncorrected) (eV/atom) = -0.1966
- N(E_F) (states/eV per atom) = 0.63

[6]
First-principles (PBE-GGA) data for crystalline Zr2RuBr at its relaxed geometry, as listed in Alexandria.

```
Zr2RuBr
1.0
-1.932 1.932 5.165
1.932 -1.932 5.165
1.932 1.932 -5.165
Zr Ru Br
2 1 1
Cartesian
0.000 0.000 0.000
0.000 1.932 2.582
0.000 0.000 5.165
1.932 0.000 2.582
```

- space-group type = No. 119
- offset from the most stable computed form (meV/atom) = 430
- total magnetization (μB/cell) = 0.00
- E_form (uncorrected) (eV/atom) = 0.0007
- N(E_F) (states/eV per atom) = 0.84